A plane-wave DFT calculation with PBE+U was carried out for Ac2VH2O6 after structural relaxation.

Geometry as CIF:
```
data_Ac2VH2O6
_chemical_formula_sum 'Ac6 V3 H6 O18'
_cell_length_a 5.3205
_cell_length_b 5.3205
_cell_length_c 14.8010
_cell_angle_alpha 90.00
_cell_angle_beta 90.00
_cell_angle_gamma 120.00
_symmetry_space_group_name_H-M 'R -3 m'
_symmetry_Int_Tables_number 166
_symmetry_space_group_name_Hall '-R 3 2"'
loop_
_atom_site_label
_atom_site_type_symbol
_atom_site_fract_x
_atom_site_fract_y
_atom_site_fract_z
Ac1 Ac 0.0000 0.0000 0.2388
V1 V 0.0000 0.0000 0.0000
H1 H 0.0000 0.0000 0.4163
O1 O 0.0120 0.5060 0.2560
```

Its volume is 362.8 Å³/cell. For the total energy, the calculation gives -227.2 eV per cell.